A relaxed structure of V3HgO. Source: the Alexandria database, functional PBE with a Hubbard U.

a = 5.2063 Å, b = 5.2063 Å, c = 5.2063 Å
α = 90.00°, β = 90.00°, γ = 90.00°
Space group Pm-3m (No. 221)
Unique sites:
V (0.0000, 0.0000, 0.5000) x3
Hg (0.0000, 0.0000, 0.0000) x1
O (0.5000, 0.5000, 0.5000) x1

Summary:
E_tot	-3.5783	eV/atom
V	28.2	Å³ per atom
distance to the lowest polymorph of the same formula	1.904	eV per atom